! NaVP2O8 | the Alexandria database | PBE with a Hubbard U | optimized geometry; values from VASP
! Magnetic moment in μB per formula unit: 0.0
! Symmetry: P2_1/c (14)
! Total DFT energy (no corrections) in eV per atom: -7.01
&SYSTEM
  ibrav = 0, nat = 48, ntyp = 4
/
ATOMIC_SPECIES
O 16.00 O.upf
Na 22.99 Na.upf
V 50.94 V.upf
P 30.97 P.upf
CELL_PARAMETERS angstrom
6.260 -0.116 0.000
-1.267 7.538 0.000
0.000 0.000 14.672
ATOMIC_POSITIONS angstrom
O -0.746 5.675 11.786
O 4.333 2.062 6.285
O -0.924 5.564 6.458
Na 0.687 0.610 4.315
O 0.187 4.153 2.081
O 2.206 5.506 0.879
O 4.438 0.671 12.079
V 0.328 5.824 1.250
Na 4.306 6.812 10.357
P 3.491 6.093 0.295
O 2.384 5.617 10.223
V 4.665 1.597 13.422
O 1.676 3.327 9.417
O -0.006 4.861 14.092
Na 3.816 0.551 3.021
O 1.513 5.956 6.046
O 3.480 1.466 8.627
P 2.074 4.787 9.016
O 3.549 7.322 7.329
O 0.419 7.380 0.007
O 3.790 5.302 13.622
O 3.317 4.095 5.255
Na 1.176 6.870 11.652
P 5.203 4.729 12.993
O 1.868 2.619 6.756
V 1.535 1.655 8.586
P 1.502 1.328 14.377
V 3.458 5.766 6.086
O 4.574 0.042 14.666
O 5.917 1.858 8.215
O 2.609 1.805 4.450
O 4.998 2.561 0.581
P 4.632 1.270 7.631
O 0.555 6.751 2.593
O 3.124 4.803 7.917
O 0.350 1.524 13.382
P 2.919 2.635 5.657
O 2.787 1.916 13.794
O 1.203 2.120 1.051
O 0.660 5.360 8.387
O 4.643 5.898 1.291
P 0.361 6.151 7.041
O 5.739 1.747 2.886
O 3.685 6.693 4.743
O 4.806 3.269 12.591
O 1.444 0.100 7.343
P -0.211 2.693 1.679
O 1.308 0.729 9.929